# Cs2RbTl PBE-GGA relaxed
data_Cs2RbTl
_chemical_formula_sum 'Cs6 Rb3 Tl3'
_symmetry_space_group_name_H-M 'R -3 m'
_symmetry_Int_Tables_number 166
_symmetry_space_group_name_Hall '-R 3 2"'
_cell_length_a 4.7306
_cell_length_b 4.7306
_cell_length_c 49.2066
_cell_angle_alpha 90.00
_cell_angle_beta 90.00
_cell_angle_gamma 120.00
loop_
_atom_site_label
_atom_site_fract_x
_atom_site_fract_y
_atom_site_fract_z
_atom_site_occupancy
Cs1 0.0000 0.0000 0.0765 1
Rb1 0.0000 0.0000 0.5000 1
Tl1 0.0000 0.0000 0.0000 1
# Density of states at the Fermi level ... 15.8 states/eV/cell
# Energy above the most stable polymorph in this dataset ... 5.902 kcal/mol of atoms
# Calculated total energy ... -1.0392 eV/atom


# LaPr6Ga2 PBE-GGA relaxed
data_LaPr6Ga2
_chemical_formula_sum 'La2 Pr12 Ga4'
_symmetry_space_group_name_H-M 'C 1 2/m 1'
_symmetry_Int_Tables_number 12
_symmetry_space_group_name_Hall '-C 2y'
_cell_length_a 12.983
_cell_length_b 3.853
_cell_length_c 12.286
_cell_angle_alpha 90.00
_cell_angle_beta 109.85
_cell_angle_gamma 90.00
loop_
_atom_site_label
_atom_site_fract_x
_atom_site_fract_y
_atom_site_fract_z
_atom_site_occupancy
La1 0.000 0.000 0.000 1
Pr1 0.027 0.000 0.323 1
Pr2 0.186 0.500 0.588 1
Pr3 0.192 0.500 0.874 1
Ga1 0.152 0.500 0.206 1
# Density of states at the Fermi level ... 20.0 states/eV/cell
# Calculated total energy ... -4.6367 eV/atom


# Y2ZnGe4Rh3 PBE-GGA relaxed
data_Y2ZnGe4Rh3
_chemical_formula_sum 'Y2 Zn1 Ge4 Rh3'
_symmetry_space_group_name_H-M 'P -4 m 2'
_symmetry_Int_Tables_number 115
_symmetry_space_group_name_Hall 'P -4 -2'
_cell_length_a 4.195
_cell_length_b 4.195
_cell_length_c 10.316
_cell_angle_alpha 90.00
_cell_angle_beta 90.00
_cell_angle_gamma 90.00
loop_
_atom_site_label
_atom_site_fract_x
_atom_site_fract_y
_atom_site_fract_z
_atom_site_occupancy
Y1 0.000 0.500 0.243 1
Zn1 0.000 0.000 0.500 1
Ge1 0.000 0.000 0.000 1
Ge2 0.000 0.500 0.640 1
Ge3 0.500 0.500 0.000 1
Rh1 0.000 0.500 0.874 1
Rh2 0.500 0.500 0.500 1
# Density of states at the Fermi level ... 6.0 states/eV/cell
# Calculated total energy ... -6.2025 eV/atom


Question: What is the formula in the third record?
Answer: Y2ZnGe4Rh3


Question: Look up the density of states at the Fermi level of the second one.
Answer: 20.0 states/eV/cell


Please write out number 1 again, unchanged.
# Cs2RbTl PBE-GGA relaxed
data_Cs2RbTl
_chemical_formula_sum 'Cs6 Rb3 Tl3'
_symmetry_space_group_name_H-M 'R -3 m'
_symmetry_Int_Tables_number 166
_symmetry_space_group_name_Hall '-R 3 2"'
_cell_length_a 4.7306
_cell_length_b 4.7306
_cell_length_c 49.2066
_cell_angle_alpha 90.00
_cell_angle_beta 90.00
_cell_angle_gamma 120.00
loop_
_atom_site_label
_atom_site_fract_x
_atom_site_fract_y
_atom_site_fract_z
_atom_site_occupancy
Cs1 0.0000 0.0000 0.0765 1
Rb1 0.0000 0.0000 0.5000 1
Tl1 0.0000 0.0000 0.0000 1
# Density of states at the Fermi level ... 15.8 states/eV/cell
# Energy above the most stable polymorph in this dataset ... 5.902 kcal/mol of atoms
# Calculated total energy ... -1.0392 eV/atom